# TlCoN2F, optimized geometry, DFT PBE+U
# E in eV per cell: -18.9
# Calculated volume in Å³ per atom: 16.77
# Magnetic moment in μB per atom: 0.901
data_TlCoN2F
_space_group_name_H-M_alt 'P 4/m m m'
_space_group_IT_number 123
_space_group_name_Hall '-P 4 2'
_cell_length_a 4.312
_cell_length_b 4.312
_cell_length_c 4.510
_cell_angle_alpha 90.00
_cell_angle_beta 90.00
_cell_angle_gamma 90.00
loop_
_atom_site_label
_atom_site_fract_x
_atom_site_fract_y
_atom_site_fract_z
Tl1 0.000 0.000 0.000
Co1 0.500 0.500 0.500
N1 0.000 0.500 0.000
F1 0.000 0.000 0.500